# ReMo3H (PBE, relaxed)
data_ReMo3H
_chemical_formula_sum 'Re1 Mo3 H1'
_symmetry_space_group_name_H-M 'P m -3 m'
_symmetry_Int_Tables_number 221
_symmetry_space_group_name_Hall '-P 4 2 3'
_cell_length_a 4.019
_cell_length_b 4.019
_cell_length_c 4.019
_cell_angle_alpha 90.00
_cell_angle_beta 90.00
_cell_angle_gamma 90.00
loop_
_atom_site_label
_atom_site_fract_x
_atom_site_fract_y
_atom_site_fract_z
Re1 0.000 0.000 0.000
Mo1 0.000 0.500 0.500
H1 0.500 0.500 0.500
# Electronic total energy ... -9.473 eV/atom
# E above lowest polymorph ... 0.00 eV/f.u.
# Crystal system ... cubic
# Mass density ... 12.15 g cm⁻³
# DOS(E_F) ... 5.0 states/eV per cell

# HgTe3Mo (PBE, relaxed)
data_HgTe3Mo
_chemical_formula_sum 'Hg1 Te3 Mo1'
_symmetry_space_group_name_H-M 'P m -3 m'
_symmetry_Int_Tables_number 221
_symmetry_space_group_name_Hall '-P 4 2 3'
_cell_length_a 5.352
_cell_length_b 5.352
_cell_length_c 5.352
_cell_angle_alpha 90.00
_cell_angle_beta 90.00
_cell_angle_gamma 90.00
loop_
_atom_site_label
_atom_site_fract_x
_atom_site_fract_y
_atom_site_fract_z
Hg1 0.000 0.000 0.000
Te1 0.000 0.500 0.500
Mo1 0.500 0.500 0.500
# Formation energy from raw total energies ... 0.340 eV per atom
# Electronic total energy ... -3.772 eV/atom
# E above lowest polymorph ... 0.00 eV/f.u.
# Crystal system ... cubic
# Mass density ... 7.36 g cm⁻³
# DOS(E_F) ... 5.2 states/eV per cell

# Er2Sn2Ru3 (PBE, relaxed)
data_Er2Sn2Ru3
_chemical_formula_sum 'Er8 Sn8 Ru12'
_symmetry_space_group_name_H-M 'I 21 3'
_symmetry_Int_Tables_number 199
_symmetry_space_group_name_Hall 'I 2b 2c 3'
_cell_length_a 8.239
_cell_length_b 8.239
_cell_length_c 8.239
_cell_angle_alpha 90.00
_cell_angle_beta 90.00
_cell_angle_gamma 90.00
loop_
_atom_site_label
_atom_site_fract_x
_atom_site_fract_y
_atom_site_fract_z
Er1 0.066 0.434 0.566
Sn1 0.218 0.218 0.218
Ru1 0.000 0.250 0.959
# Electronic total energy ... -6.601 eV/atom
# Energy relative to the elements ... -178 meV per atom
# Crystal system ... cubic
# Mass density ... 10.39 g cm⁻³
# DOS(E_F) ... 26.6 states/eV per cell